Model w:
First-principles (PBE) data for a relaxed K2SeO crystal, as listed in Alexandria.

abc: 4.464 5.105 5.383
angles: 79.84 89.68 64.34
Fractional positions:
K1 0.000 0.000 0.000
K2 0.312 0.380 0.408
Se1 0.662 0.676 0.739
O1 0.700 0.601 0.097

Calculated values
* symmetry: P1

***

Model x:
First-principles (PBE) data for a relaxed K2SeO crystal, as listed in Alexandria.

abc: 5.895 5.895 7.128
angles: 93.32 93.32 54.95
Fractional positions:
K1 0.000 0.000 0.000
K2 0.000 0.000 0.500
K3 0.312 0.312 0.693
K4 0.688 0.688 0.307
Se1 0.359 0.359 0.219
Se2 0.641 0.641 0.781
O1 0.195 0.195 0.307
O2 0.805 0.805 0.693

Calculated values
* symmetry: C2/m

***

Model y:
First-principles (PBE) data for a relaxed K2SeO crystal, as listed in Alexandria.

abc: 8.504 8.504 5.754
angles: 90.00 90.00 150.12
Fractional positions:
K1 0.069 0.931 0.500
K2 0.236 0.764 0.872
K3 0.764 0.236 0.372
K4 0.931 0.069 0.000
Se1 0.407 0.593 0.463
Se2 0.593 0.407 0.963
O1 0.339 0.661 0.198
O2 0.661 0.339 0.698

Calculated values
* symmetry: Cmc2_1

***

Most stable structure: model x

***

Model w:
First-principles (PBE) data for a relaxed K2Se2O5 crystal, as listed in Alexandria.

abc: 10.015 26.008 10.820
angles: 90.00 90.00 90.00
Fractional positions:
K1 0.002 0.133 0.007
K2 0.002 0.367 0.507
K3 0.004 0.509 0.701
K4 0.004 0.991 0.201
K5 0.067 0.744 0.252
K6 0.067 0.756 0.752
K7 0.122 0.624 0.995
K8 0.122 0.876 0.495
K9 0.378 0.124 0.995
K10 0.378 0.376 0.495
K11 0.433 0.244 0.252
K12 0.433 0.256 0.752
K13 0.496 0.009 0.701
K14 0.496 0.491 0.201
K15 0.498 0.633 0.007
K16 0.498 0.867 0.507
K17 0.502 0.133 0.493
K18 0.502 0.367 0.993
K19 0.504 0.509 0.799
K20 0.504 0.991 0.299
K21 0.567 0.744 0.248
K22 0.567 0.756 0.748
K23 0.622 0.624 0.505
K24 0.622 0.876 0.005
K25 0.878 0.124 0.505
K26 0.878 0.376 0.005
K27 0.933 0.244 0.248
K28 0.933 0.256 0.748
K29 0.996 0.009 0.799
K30 0.996 0.491 0.299
K31 0.998 0.633 0.493
K32 0.998 0.867 0.993
Se1 0.158 0.113 0.293
Se2 0.158 0.387 0.793
Se3 0.180 0.141 0.705
Se4 0.180 0.359 0.205
Se5 0.190 0.240 0.507
Se6 0.190 0.260 0.007
Se7 0.208 0.014 0.486
Se8 0.208 0.486 0.986
Se9 0.292 0.514 0.486
Se10 0.292 0.986 0.986
Se11 0.310 0.740 0.507
Se12 0.310 0.760 0.007
Se13 0.320 0.641 0.705
Se14 0.320 0.859 0.205
Se15 0.342 0.613 0.293
Se16 0.342 0.887 0.793
Se17 0.658 0.113 0.207
Se18 0.658 0.387 0.707
Se19 0.680 0.141 0.795
Se20 0.680 0.359 0.295
Se21 0.690 0.240 0.993
Se22 0.690 0.260 0.493
Se23 0.708 0.014 0.014
Se24 0.708 0.486 0.514
Se25 0.792 0.514 0.014
Se26 0.792 0.986 0.514
Se27 0.810 0.740 0.993
Se28 0.810 0.760 0.493
Se29 0.820 0.641 0.795
Se30 0.820 0.859 0.295
Se31 0.842 0.613 0.207
Se32 0.842 0.887 0.707
O1 0.009 0.143 0.282
O2 0.009 0.357 0.782
O3 0.037 0.112 0.748
O4 0.037 0.388 0.248
O5 0.095 0.062 0.406
O6 0.095 0.438 0.906
O7 0.096 0.189 0.596
O8 0.096 0.311 0.096
O9 0.143 0.544 0.486
O10 0.143 0.956 0.986
O11 0.152 0.717 0.503
O12 0.152 0.783 0.004
O13 0.176 0.079 0.162
O14 0.176 0.421 0.662
O15 0.192 0.212 0.110
O16 0.192 0.288 0.610
O17 0.218 0.532 0.878
O18 0.218 0.968 0.378
O19 0.224 0.179 0.824
O20 0.224 0.321 0.324
O21 0.276 0.679 0.824
O22 0.276 0.821 0.324
O23 0.282 0.032 0.878
O24 0.282 0.468 0.378
O25 0.308 0.712 0.110
O26 0.308 0.788 0.610
O27 0.324 0.579 0.162
O28 0.324 0.921 0.662
O29 0.348 0.217 0.503
O30 0.348 0.283 0.004
O31 0.357 0.044 0.486
O32 0.357 0.456 0.986
O33 0.404 0.689 0.596
O34 0.404 0.811 0.096
O35 0.405 0.562 0.406
O36 0.405 0.938 0.906
O37 0.463 0.612 0.748
O38 0.463 0.888 0.248
O39 0.491 0.643 0.282
O40 0.491 0.857 0.782
O41 0.509 0.143 0.218
O42 0.509 0.357 0.718
O43 0.537 0.112 0.752
O44 0.537 0.388 0.252
O45 0.595 0.062 0.094
O46 0.595 0.438 0.594
O47 0.596 0.189 0.904
O48 0.596 0.311 0.404
O49 0.643 0.544 0.014
O50 0.643 0.956 0.514
O51 0.652 0.717 0.996
O52 0.652 0.783 0.496
O53 0.676 0.079 0.338
O54 0.676 0.421 0.838
O55 0.692 0.212 0.390
O56 0.692 0.288 0.890
O57 0.718 0.532 0.622
O58 0.718 0.968 0.122
O59 0.724 0.179 0.676
O60 0.724 0.321 0.176
O61 0.776 0.679 0.676
O62 0.776 0.821 0.176
O63 0.782 0.032 0.622
O64 0.782 0.468 0.122
O65 0.808 0.712 0.390
O66 0.808 0.788 0.890
O67 0.824 0.579 0.338
O68 0.824 0.921 0.838
O69 0.848 0.217 0.996
O70 0.848 0.283 0.496
O71 0.857 0.044 0.014
O72 0.857 0.456 0.514
O73 0.904 0.689 0.904
O74 0.904 0.811 0.404
O75 0.905 0.562 0.094
O76 0.905 0.938 0.594
O77 0.963 0.612 0.752
O78 0.963 0.888 0.252
O79 0.991 0.643 0.218
O80 0.991 0.857 0.718

Calculated values
* symmetry: Pbca

***

Model x:
First-principles (PBE) data for a relaxed K2Se2O5 crystal, as listed in Alexandria.

abc: 6.757 6.757 6.241
angles: 106.82 106.82 35.37
Fractional positions:
K1 0.075 0.075 0.339
K2 0.925 0.925 0.661
Se1 0.352 0.352 0.046
Se2 0.648 0.648 0.954
O1 0.172 0.172 0.006
O2 0.394 0.394 0.328
O3 0.500 0.500 0.000
O4 0.606 0.606 0.672
O5 0.828 0.828 0.994

Calculated values
* symmetry: C2/m

***

Most stable structure: model w

***

Model w:
First-principles (PBE) data for a relaxed K6Se2O crystal, as listed in Alexandria.

abc: 4.460 8.330 8.330
angles: 120.11 90.00 90.00
Fractional positions:
K1 0.000 0.000 0.000
K2 0.000 0.546 0.773
K3 0.000 0.773 0.546
K4 0.500 0.181 0.772
K5 0.500 0.366 0.366
K6 0.500 0.772 0.181
Se1 0.000 0.106 0.439
Se2 0.000 0.439 0.106
O1 0.500 0.770 0.770

Calculated values
* symmetry: Amm2

***

Model x:
First-principles (PBE) data for a relaxed K6Se2O crystal, as listed in Alexandria.

abc: 7.465 7.465 5.577
angles: 90.00 90.00 120.00
Fractional positions:
K1 0.175 0.350 0.271
K2 0.175 0.825 0.271
K3 0.350 0.175 0.729
K4 0.650 0.825 0.271
K5 0.825 0.175 0.729
K6 0.825 0.650 0.729
Se1 0.333 0.667 0.762
Se2 0.667 0.333 0.238
O1 0.000 0.000 0.500

Calculated values
* symmetry: P-3m1

***

Most stable structure: model x